## Li3ThCr4O12 (PBE+U)

Data for crystalline Li3ThCr4O12 at its relaxed geometry.

Computed properties:
* volume: 202 Å³/cell
* N(E_F): 12.5 states/eV/f.u.
* magnetization: 7.00 μB per formula unit
* calculated total energy: -0.519 Ry/atom
* SG: Im-3

Unit cell a=6.398 b=6.398 c=6.398 alpha=109.47 beta=109.47 gamma=109.47
Sites, in units of the cell vectors:
Li 0.000 0.500 0.500
Li 0.500 0.000 0.500
Li 0.500 0.500 0.000
Th 0.000 0.000 0.000
Cr 0.000 0.000 0.500
Cr 0.000 0.500 0.000
Cr 0.500 0.000 0.000
Cr 0.500 0.500 0.500
O 0.107 0.816 0.291
O 0.184 0.291 0.474
O 0.184 0.709 0.893
O 0.291 0.107 0.816
O 0.291 0.474 0.184
O 0.474 0.184 0.291
O 0.526 0.816 0.709
O 0.709 0.526 0.816
O 0.709 0.893 0.184
O 0.816 0.291 0.107
O 0.816 0.709 0.526
O 0.893 0.184 0.709